Here is Np2BeF8 after structural relaxation from Alexandria. Energies are from GGA-PBE.

POSCAR file:
```
Np2BeF8
1.0
4.689 -3.663 0.000
4.689 3.663 0.000
-1.476 0.000 4.431
Np Be F
2 1 8
direct
0.186 0.186 0.354
0.814 0.814 0.646
0.500 0.500 0.000
0.087 0.087 0.795
0.184 0.548 0.737
0.395 0.395 0.201
0.452 0.816 0.263
0.548 0.184 0.737
0.605 0.605 0.799
0.816 0.452 0.263
0.913 0.913 0.205
```

Output
For the total magnetic moment, the calculation gives 8.0 μB per formula unit. Its space group is C2/m (12). The formation energy (no corrections) comes out at -3.27 eV per atom. For the calculated volume, the calculation gives 152.2 Å³/cell.

=====

Here is BeOF3 after structural relaxation from Alexandria. Energies are from GGA-PBE.

POSCAR file:
```
BeOF3
1.0
3.534 0.000 0.000
0.000 3.534 0.000
0.000 0.000 3.534
Be O F
1 1 3
direct
0.000 0.000 0.000
0.500 0.500 0.500
0.000 0.000 0.500
0.000 0.500 0.000
0.500 0.000 0.000
```

Output
For the total magnetic moment, the calculation gives 3.0 μB per formula unit. Its space group is Pm-3m (221). The formation energy (no corrections) comes out at -1.23 eV per atom. As for the energy above the most stable polymorph in this dataset: 3.26 eV per formula unit. For the calculated volume, the calculation gives 44.1 Å³/cell.

=====

Here is BeO2F after structural relaxation from Alexandria. Energies are from GGA-PBE.

POSCAR file:
```
BeO2F
1.0
0.000 2.553 2.553
2.553 0.000 2.553
2.553 2.553 0.000
Be O F
1 2 1
direct
0.000 0.000 0.000
0.250 0.250 0.250
0.750 0.750 0.750
0.500 0.500 0.500
```

Output
For the total magnetic moment, the calculation gives 3.0 μB per formula unit. Its space group is Fm-3m (225). The formation energy (no corrections) comes out at 0.31 eV per atom. As for the energy above the most stable polymorph in this dataset: 3.91 eV per formula unit. For the calculated volume, the calculation gives 33.3 Å³/cell.

=====

Here is Be3OF after structural relaxation from Alexandria. Energies are from GGA-PBE.

POSCAR file:
```
Be3OF
1.0
3.635 0.000 0.000
0.000 3.635 0.000
0.000 0.000 3.635
Be O F
3 1 1
direct
0.000 0.000 0.500
0.000 0.500 0.000
0.500 0.000 0.000
0.000 0.000 0.000
0.500 0.500 0.500
```

Output
For the total magnetic moment, the calculation gives 0.0 μB per formula unit. Its space group is Pm-3m (221). The formation energy (no corrections) comes out at -0.25 eV per atom. As for the energy above the most stable polymorph in this dataset: 0.00 eV per formula unit. For the calculated volume, the calculation gives 48.0 Å³/cell.

=====

Here is BeOF3 after structural relaxation from Alexandria. Energies are from GGA-PBE.

POSCAR file:
```
BeOF3
1.0
6.143 0.000 0.000
0.000 5.762 0.000
-4.279 0.000 7.546
Be O F
4 4 12
direct
0.135 0.150 0.047
0.135 0.350 0.547
0.865 0.650 0.453
0.865 0.850 0.953
0.405 0.514 0.936
0.405 0.986 0.436
0.595 0.014 0.564
0.595 0.486 0.064
0.102 0.148 0.420
0.102 0.352 0.920
0.125 0.600 0.460
0.125 0.900 0.960
0.371 0.188 0.227
0.371 0.312 0.727
0.629 0.688 0.273
0.629 0.812 0.773
0.875 0.100 0.040
0.875 0.400 0.540
0.898 0.648 0.080
0.898 0.852 0.580
```

Output
For the total magnetic moment, the calculation gives 0.0 μB per formula unit. Its space group is P2_1/c (14). The formation energy (no corrections) comes out at -1.88 eV per atom. As for the energy above the most stable polymorph in this dataset: 0.00 eV per formula unit. For the calculated volume, the calculation gives 267.1 Å³/cell.

=====

Here is BeO3F after structural relaxation from Alexandria. Energies are from GGA-PBE.

POSCAR file:
```
BeO3F
1.0
3.658 0.000 0.000
0.000 3.658 0.000
0.000 0.000 3.658
Be O F
1 3 1
direct
0.000 0.000 0.000
0.000 0.500 0.500
0.500 0.000 0.500
0.500 0.500 0.000
0.500 0.500 0.500
```

Output
For the total magnetic moment, the calculation gives 2.0 μB per formula unit. Its space group is Pm-3m (221). The formation energy (no corrections) comes out at 1.28 eV per atom. For the calculated volume, the calculation gives 49.0 Å³/cell.

=====

Here is BeOF3 after structural relaxation from Alexandria. Energies are from GGA-PBE.

POSCAR file:
```
BeOF3
1.0
3.790 0.000 0.000
0.000 3.790 0.000
0.000 0.000 3.790
Be O F
1 1 3
direct
0.000 0.000 0.000
0.500 0.500 0.500
0.000 0.500 0.500
0.500 0.000 0.500
0.500 0.500 0.000
```

Output
For the total magnetic moment, the calculation gives 0.0 μB per formula unit. Its space group is Pm-3m (221). The formation energy (no corrections) comes out at 0.20 eV per atom. As for the energy above the most stable polymorph in this dataset: 10.39 eV per formula unit. For the calculated volume, the calculation gives 54.4 Å³/cell.

=====

Here is BeO2F after structural relaxation from Alexandria. Energies are from GGA-PBE.

POSCAR file:
```
BeO2F
1.0
-1.974 1.974 5.082
1.974 -1.974 5.082
1.974 1.974 -5.082
Be O F
2 4 2
direct
0.375 0.625 0.750
0.625 0.375 0.250
0.000 0.500 0.500
0.500 0.000 0.000
0.500 0.500 0.000
0.500 0.500 0.500
0.125 0.875 0.250
0.875 0.125 0.750
```

Output
For the total magnetic moment, the calculation gives 1.6 μB per formula unit. Its space group is I4_1/amd (141). The formation energy (no corrections) comes out at -0.67 eV per atom. As for the energy above the most stable polymorph in this dataset: 0.00 eV per formula unit. For the calculated volume, the calculation gives 79.2 Å³/cell.